No. 1
A plane-wave DFT calculation with PBE was carried out for a relaxed structure of BaMn2FeMo.

* mass density: 5.61 g/cm3
* DOS(E_F): 1.3388 states/eV per atom
* formation energy from the elements: 2.6416 eV per atom
* DFT total energy: -26.3 eV/cell

Cell: 5.020 5.020 4.684 Å, 90.00 90.00 90.00°
Space group P4/mmm (No. 123)
One atom of each set of equivalent atoms:
Ba (0.000, 0.000, 0.000)
Mn (0.000, 0.500, 0.000)
Fe (0.000, 0.000, 0.500)
Mo (0.500, 0.500, 0.500)

No. 2
A plane-wave DFT calculation with PBE was carried out for a relaxed structure of AcDy2Si4.

* ΔE_f (raw): -4.96 eV/f.u.
* mass density: 7.06 g/cm3
* DOS(E_F): 0.5569 states/eV per atom
* DFT total energy: -79.9 eV/cell

Cell: 3.947 4.478 17.688 Å, 90.00 90.00 90.00°
Space group Immm (No. 71)
One atom of each set of equivalent atoms:
Ac (0.000, 0.000, 0.000)
Dy (0.000, 0.500, 0.317)
Si (0.000, 0.000, 0.430)
Si (0.000, 0.500, 0.152)

No. 3
A plane-wave DFT calculation with PBE was carried out for a relaxed structure of Er2GeAu.

* mass density: 9.96 g/cm3
* DOS(E_F): 0.5861 states/eV per atom
* formation energy from the elements: -0.7167 eV per atom
* DFT total energy: -59.7 eV/cell

Cell: 4.3421 4.3421 18.4964 Å, 90.00 90.00 120.00°
Space group R-3m (No. 166, hexagonal axes)
One atom of each set of equivalent atoms:
Er (0.0000, 0.0000, 0.2457)
Ge (0.0000, 0.0000, 0.5000)
Au (0.0000, 0.0000, 0.0000)

No. 4
A plane-wave DFT calculation with PBE was carried out for a relaxed structure of Tb2Pr5In.

* mass density: 7.16 g/cm3
* DOS(E_F): 1.3239 states/eV per atom
* formation energy from the elements: -0.1146 eV per atom
* DFT total energy: -73.6 eV/cell

Cell: 5.045 5.045 20.728 Å, 90.00 90.00 90.00°
Space group I4/mmm (No. 139)
One atom of each set of equivalent atoms:
Tb (0.000, 0.000, 0.249)
Pr (0.000, 0.000, 0.000)
Pr (0.000, 0.500, 0.123)
In (0.000, 0.000, 0.500)

No. 5
A plane-wave DFT calculation with PBE was carried out for a relaxed structure of LiY3Cu8.

* mass density: 6.60 g/cm3
* DOS(E_F): 0.8728 states/eV per atom
* formation energy from the elements: -0.1703 eV per atom
* DFT total energy: -168.4 eV/cell

Cell: 5.1813 5.1813 25.3987 Å, 90.00 90.00 120.00°
Space group R3m (No. 160, hexagonal axes)
One atom of each set of equivalent atoms:
Li (0.0000, 0.0000, 0.0000)
Y (0.0000, 0.0000, 0.1206)
Y (0.0000, 0.0000, 0.5093)
Y (0.0000, 0.0000, 0.6376)
Cu (0.0000, 0.0000, 0.3183)
Cu (0.0000, 0.0000, 0.8164)
Cu (0.9997, 0.4999, 0.5683)
Cu (0.0081, 0.5040, 0.0667)

No. 6
A plane-wave DFT calculation with PBE was carried out for a relaxed structure of NaWS2.

* ΔE_f (raw): -1.38 eV/f.u.
* mass density: 4.56 g/cm3
* DOS(E_F): 0.6606 states/eV per atom
* DFT total energy: -95.6 eV/cell

Cell: 6.040 6.040 10.807 Å, 90.00 90.00 90.00°
Space group I-42d (No. 122)
One atom of each set of equivalent atoms:
Na (0.000, 0.000, 0.000)
W (0.000, 0.000, 0.500)
S (0.178, 0.250, 0.625)

No. 7
A plane-wave DFT calculation with PBE was carried out for a relaxed structure of Th2PaCu.

* mass density: 11.95 g/cm3
* DOS(E_F): 1.7130 states/eV per atom
* formation energy from the elements: 0.3968 eV per atom
* DFT total energy: -80.5 eV/cell

Cell: 3.3156 3.3156 33.2172 Å, 90.00 90.00 120.00°
Space group R-3m (No. 166, hexagonal axes)
One atom of each set of equivalent atoms:
Th (0.0000, 0.0000, 0.0966)
Pa (0.0000, 0.0000, 0.0000)
Cu (0.0000, 0.0000, 0.5000)

No. 8
A plane-wave DFT calculation with PBE was carried out for a relaxed structure of Rb2LaTmS4.

* ΔE_f (raw): -14.89 eV/f.u.
* mass density: 4.34 g/cm3
* DOS(E_F): 0.0000 states/eV per atom
* DFT total energy: -42.7 eV/cell

Cell: 7.237 4.174 8.058 Å, 90.00 107.36 90.00°
Space group P2/m (No. 10)
One atom of each set of equivalent atoms:
Rb (0.000, 0.000, 0.000)
Rb (0.500, 0.500, 0.000)
La (0.000, 0.500, 0.500)
Tm (0.500, 0.000, 0.500)
S (0.246, 0.000, 0.696)
S (0.283, 0.500, 0.309)

What is the mass density in the fifth record? 6.60 g/cm3